1.
4
Lattice="0.0000 2.6578 2.6578 2.6578 0.0000 2.6578 2.6578 2.6578 0.0000" Properties=species:S:1:pos:R:3 comment="ZnC2O | the Alexandria database | PBE | optimized geometry" e_above_lowest_polymorph_mev_per_atom=897.4 e_form_raw_mev_per_atom=2652 pbc="T T T"
Zn 0.0000 0.0000 0.0000
C 1.3289 1.3289 1.3289
C 3.9867 3.9867 3.9867
O 2.6578 2.6578 2.6578

***

2.
8
Lattice="-2.2134 2.2134 4.1158 2.2134 -2.2134 4.1158 2.2134 2.2134 -4.1158" Properties=species:S:1:pos:R:3 comment="ZnC2O | the Alexandria database | PBE | optimized geometry" e_above_lowest_polymorph_mev_per_atom=0.0 e_form_raw_mev_per_atom=1754 pbc="T T T"
Zn 0.0000 0.0000 0.0000
Zn 0.0000 2.2134 2.0579
C 1.1067 -0.8996 3.0868
C 1.3138 1.1067 1.0289
C 1.1067 3.1131 -1.0289
C 0.8996 1.1067 5.1447
O 2.2134 0.0000 2.0579
O 0.0000 0.0000 4.1158

***

3.
5
Lattice="3.9649 0.0000 0.0000 0.0000 3.9649 0.0000 0.0000 0.0000 3.9649" Properties=species:S:1:pos:R:3 comment="Zn3CO | the Alexandria database | PBE | optimized geometry" e_above_lowest_polymorph_mev_per_atom=0.0 e_form_raw_mev_per_atom=169 pbc="T T T"
Zn 0.0000 0.0000 1.9825
Zn 0.0000 1.9825 0.0000
Zn 1.9825 0.0000 0.0000
C 0.0000 0.0000 0.0000
O 1.9825 1.9825 1.9825

***

4.
5
Lattice="3.6685 0.0000 0.0000 0.0000 3.6685 0.0000 0.0000 0.0000 3.6685" Properties=species:S:1:pos:R:3 comment="ZnC3O | the Alexandria database | PBE | optimized geometry" e_above_lowest_polymorph_mev_per_atom=0.0 e_form_raw_mev_per_atom=2978 pbc="T T T"
Zn 0.0000 0.0000 0.0000
C 0.0000 1.8343 1.8343
C 1.8343 0.0000 1.8343
C 1.8343 1.8343 0.0000
O 1.8343 1.8343 1.8343

***

5.
5
Lattice="3.9296 0.0000 0.0000 0.0000 3.9296 0.0000 0.0000 0.0000 3.9296" Properties=species:S:1:pos:R:3 comment="ZnC3O | the Alexandria database | PBE | optimized geometry" e_above_lowest_polymorph_mev_per_atom=468.0 e_form_raw_mev_per_atom=3446 pbc="T T T"
Zn 0.0000 0.0000 0.0000
C 0.0000 0.0000 1.9648
C 0.0000 1.9648 0.0000
C 1.9648 0.0000 0.0000
O 1.9648 1.9648 1.9648

***

6.
6
Lattice="2.2944 -2.1648 0.0000 2.2944 2.1648 0.0000 -0.1393 0.0000 6.4413" Properties=species:S:1:pos:R:3 comment="ZrCO | the Alexandria database | PBE | optimized geometry" e_form_raw_mev_per_atom=-1540 pbc="T T T"
Zr 0.9557 0.0000 1.7290
Zr 3.4938 0.0000 4.7123
C 2.2944 0.6965 0.0000
C 2.2944 -0.6965 0.0000
O 1.0733 0.0000 4.0018
O 3.3763 0.0000 2.4395

***

7.
4
Lattice="1.4507 0.8375 5.8890 -1.4507 0.8375 5.8890 0.0000 -1.6751 5.8890" Properties=species:S:1:pos:R:3 comment="ZrCO2 | the Alexandria database | PBE | optimized geometry" e_form_raw_mev_per_atom=-337 pbc="T T T"
Zr 0.0000 0.0000 0.0000
C 0.0000 0.0000 8.8334
O 0.0000 0.0000 7.5231
O 0.0000 0.0000 10.1438

***

8.
12
Lattice="5.6213 -1.6434 0.0000 5.6213 1.6434 0.0000 -1.5492 0.0000 10.4588" Properties=species:S:1:pos:R:3 comment="Zr3C2O | the Alexandria database | PBE | optimized geometry" e_form_raw_mev_per_atom=-945 pbc="T T T"
Zr 0.2551 0.0000 3.0770
Zr 3.4157 0.0000 4.4441
Zr 4.2124 0.0000 0.5887
Zr 5.4810 0.0000 9.8701
Zr 6.2777 0.0000 6.0148
Zr 9.4383 0.0000 7.3818
C 0.0000 0.0000 0.0000
C -0.7746 0.0000 5.2294
C 4.5613 0.0000 2.6440
C 5.1322 0.0000 7.8149
O 2.3201 0.0000 6.4840
O 7.3733 0.0000 3.9749

***

9.
5
Lattice="4.1013 0.0000 0.0000 0.0000 4.1013 0.0000 0.0000 0.0000 4.1013" Properties=species:S:1:pos:R:3 comment="ZrCO3 | the Alexandria database | PBE | optimized geometry" e_form_raw_mev_per_atom=-177 pbc="T T T"
Zr 0.0000 0.0000 0.0000
C 2.0506 2.0506 2.0506
O 0.0000 0.0000 2.0506
O 0.0000 2.0506 0.0000
O 2.0506 0.0000 0.0000

***

10.
22
Lattice="7.2743 0.0000 0.0000 0.0000 7.2743 0.0000 0.0000 0.0000 5.1832" Properties=species:S:1:pos:R:3 comment="Zr4CO6 | the Alexandria database | PBE | optimized geometry" e_form_raw_mev_per_atom=-2771 pbc="T T T"
Zr 0.0699 1.8186 0.2058
Zr 1.8186 0.0699 2.7974
Zr 1.8186 3.5672 2.7974
Zr 3.5672 1.8186 0.2058
Zr 3.7071 5.4557 4.9775
Zr 5.4557 3.7071 2.3858
Zr 5.4557 7.2044 2.3858
Zr 7.2044 5.4557 4.9775
C 1.8186 5.4557 3.8874
C 5.4557 1.8186 1.2958
O 0.2762 3.9134 1.2958
O 0.2762 6.9981 1.2958
O 1.8186 1.8186 1.4260
O 1.8186 1.8186 4.0176
O 3.3609 3.9134 1.2958
O 3.3609 6.9981 1.2958
O 3.9134 0.2762 3.8874
O 3.9134 3.3609 3.8874
O 5.4557 5.4557 1.1656
O 5.4557 5.4557 3.7572
O 6.9981 0.2762 3.8874
O 6.9981 3.3609 3.8874

***

11.
12
Lattice="2.8878 -5.0018 0.0000 2.8878 5.0018 0.0000 -1.9339 0.0000 5.4348" Properties=species:S:1:pos:R:3 comment="Zr6C5O | the Alexandria database | PBE | optimized geometry" e_form_raw_mev_per_atom=-1162 pbc="T T T"
Zr -0.0268 1.7045 4.0610
Zr 0.9167 0.0000 1.3938
Zr -0.0268 -1.7045 4.0610
Zr 3.8685 1.7045 1.3738
Zr 2.9250 0.0000 4.0410
Zr 3.8685 -1.7045 1.3738
C -0.9670 0.0000 2.7174
C 2.8878 3.3300 0.0000
C 1.9208 1.6755 2.7174
C 1.9208 -1.6755 2.7174
C 2.8878 -3.3300 0.0000
O 2.8878 0.0000 0.0000

***

12.
5
Lattice="1.6620 0.9596 8.0227 -1.6620 0.9596 8.0227 0.0000 -1.9192 8.0227" Properties=species:S:1:pos:R:3 comment="Zr2CO2 | the Alexandria database | PBE | optimized geometry" e_form_raw_mev_per_atom=-2147 pbc="T T T"
Zr 0.0000 0.0000 2.6086
Zr 0.0000 0.0000 21.4595
C 0.0000 0.0000 12.0341
O 0.0000 0.0000 6.3460
O 0.0000 0.0000 17.7221